No. 1
## LiTbPr2Te4 (PBE)

Data for LiTbPr2Te4 after structural relaxation.

POSCAR file:
```
LiTbPr2Te4
1.0
7.666 0.000 0.000
0.000 4.420 0.000
-2.536 0.000 7.280
Li Tb Pr Te
1 1 2 4
Direct
0.000 0.000 0.000
0.500 0.500 0.000
0.000 0.500 0.500
0.500 0.000 0.500
0.239 0.500 0.231
0.249 0.000 0.767
0.751 0.000 0.233
0.761 0.500 0.769
```

uncorrected energy	-4.951	eV per atom



No. 2
## Li2TbPrTe4 (PBE)

Data for Li2TbPrTe4 after structural relaxation.

POSCAR file:
```
Li2TbPrTe4
1.0
7.527 0.000 0.000
0.000 4.427 0.000
-2.593 0.000 7.214
Li Tb Pr Te
2 1 1 4
Direct
0.000 0.000 0.000
0.000 0.500 0.500
0.500 0.000 0.500
0.500 0.500 0.000
0.238 0.000 0.739
0.242 0.500 0.255
0.758 0.500 0.745
0.762 0.000 0.261
```

uncorrected energy	-4.518	eV per atom



No. 3
## Li3Tb2PrTe6 (PBE)

Data for Li3Tb2PrTe6 after structural relaxation.

POSCAR file:
```
Li3Tb2PrTe6
1.0
3.814 -6.606 0.000
3.814 6.606 0.000
-2.544 0.000 7.076
Li Tb Pr Te
3 2 1 6
Direct
0.000 0.000 0.000
0.334 0.666 0.000
0.666 0.334 0.000
0.167 0.833 0.500
0.833 0.167 0.500
0.500 0.500 0.500
0.072 0.414 0.242
0.245 0.245 0.759
0.414 0.072 0.242
0.586 0.928 0.758
0.755 0.755 0.241
0.928 0.586 0.758
```

uncorrected energy	-4.514	eV per atom



No. 4
## LiTb3Pr2Te6 (PBE)

Data for LiTb3Pr2Te6 after structural relaxation.

POSCAR file:
```
LiTb3Pr2Te6
1.0
9.654 -2.202 0.000
9.654 2.202 0.000
-2.072 0.000 8.621
Li Tb Pr Te
1 3 2 6
Direct
0.000 0.000 0.000
0.000 0.000 0.500
0.330 0.330 0.168
0.670 0.670 0.832
0.330 0.330 0.659
0.670 0.670 0.341
0.162 0.162 0.073
0.162 0.162 0.591
0.497 0.497 0.243
0.503 0.503 0.757
0.838 0.838 0.409
0.838 0.838 0.927
```

uncorrected energy	-5.048	eV per atom